Entry w
MgV2P | GGA-PBE | optimized geometry

Cell lengths 4.292, 4.292, 4.292 Å; angles 60.00, 60.00, 60.00 degrees
Site moments in Bohr magnetons follow the coordinates.
Fractional coordinates of all 4 atoms:
1 P 0.500 0.500 0.500  -0.03
2 Mg 0.000 0.000 0.000  0.04
3 V 0.250 0.250 0.250  1.25
4 V 0.750 0.750 0.750  1.25

***

Entry x
MgV2P | GGA-PBE | optimized geometry

Cell lengths 3.894, 3.894, 9.355 Å; angles 77.99, 77.99, 90.00 degrees
Fractional coordinates of all 8 atoms:
1 P 0.000 0.000 0.000
2 P 0.750 0.250 0.500
3 Mg 0.500 0.500 0.000
4 Mg 0.250 0.750 0.500
5 V 0.766 0.125 0.250
6 V 0.984 0.625 0.250
7 V 0.375 0.234 0.750
8 V 0.875 0.016 0.750

***

Quick one: most stable of them? entry w

***

Entry w
Mg2PW2 | GGA-PBE | optimized geometry

Cell lengths 6.271, 6.271, 4.491 Å; angles 90.00, 90.00, 90.00 degrees
Fractional coordinates of all 10 atoms:
1 P 0.000 0.000 0.000
2 P 0.500 0.500 0.000
3 Mg 0.353 0.853 0.000
4 Mg 0.853 0.647 0.000
5 Mg 0.647 0.147 0.000
6 Mg 0.147 0.353 0.000
7 W 0.141 0.641 0.500
8 W 0.641 0.859 0.500
9 W 0.859 0.359 0.500
10 W 0.359 0.141 0.500

***

Entry x
Mg2PW2 | GGA-PBE | optimized geometry

Cell lengths 6.203, 6.203, 4.684 Å; angles 90.00, 90.00, 90.00 degrees
Fractional coordinates of all 10 atoms:
1 P 0.000 0.000 0.000
2 P 0.500 0.500 0.000
3 Mg 0.159 0.659 0.500
4 Mg 0.659 0.841 0.500
5 Mg 0.841 0.341 0.500
6 Mg 0.341 0.159 0.500
7 W 0.354 0.854 0.000
8 W 0.854 0.646 0.000
9 W 0.646 0.146 0.000
10 W 0.146 0.354 0.000

***

Entry y
Mg2PW2 | GGA-PBE | optimized geometry

Cell lengths 3.516, 3.516, 8.637 Å; angles 78.26, 78.26, 90.00 degrees
Fractional coordinates of all 5 atoms:
1 P 0.000 0.000 0.000
2 Mg 0.406 0.406 0.188
3 Mg 0.594 0.594 0.812
4 W 0.750 0.250 0.500
5 W 0.250 0.750 0.500

***

Quick one: most stable of them? entry x

***

Entry w
Mg3PW | GGA-PBE | optimized geometry

Cell lengths 4.821, 4.821, 4.821 Å; angles 90.00, 90.00, 90.00 degrees
Site moments in Bohr magnetons follow the coordinates.
Fractional coordinates of all 5 atoms:
1 P 0.000 0.000 0.000  0.05
2 Mg 0.000 0.500 0.000  -0.01
3 Mg 0.000 0.000 0.500  -0.02
4 Mg 0.500 0.000 0.000  -0.01
5 W 0.500 0.500 0.500  2.55

***

Entry x
Mg3PW | GGA-PBE | optimized geometry

Cell lengths 5.211, 5.211, 5.211 Å; angles 90.00, 90.00, 90.00 degrees
Site moments in Bohr magnetons follow the coordinates.
Fractional coordinates of all 5 atoms:
1 P 0.500 0.500 0.500  -0.05
2 Mg 0.000 0.500 0.000  0.01
3 Mg 0.000 0.000 0.500  0.00
4 Mg 0.500 0.000 0.000  0.02
5 W 0.000 0.000 0.000  1.96

***

Quick one: most stable of them? entry w

***

Entry w
Mg2ZnP | GGA-PBE | optimized geometry

Cell lengths 4.701, 4.701, 4.701 Å; angles 60.00, 60.00, 60.00 degrees
Fractional coordinates of all 4 atoms:
1 P 0.000 0.000 0.000
2 Zn 0.500 0.500 0.500
3 Mg 0.250 0.250 0.250
4 Mg 0.750 0.750 0.750

***

Entry x
Mg2ZnP | GGA-PBE | optimized geometry

Cell lengths 3.701, 3.701, 5.418 Å; angles 90.00, 90.00, 90.01 degrees
Fractional coordinates of all 4 atoms:
1 Mg 0.000 0.000 0.965
2 Mg 0.500 0.500 0.294
3 P 0.000 0.000 0.466
4 Zn 0.500 0.500 0.775

***

Entry y
Mg2ZnP | GGA-PBE | optimized geometry

Cell lengths 4.735, 4.735, 4.735 Å; angles 60.00, 60.00, 60.00 degrees
Fractional coordinates of all 4 atoms:
1 Mg 0.000 0.000 0.000
2 Mg 0.250 0.250 0.250
3 P 0.500 0.500 0.500
4 Zn 0.750 0.750 0.750

***

Entry z
Mg2ZnP | GGA-PBE | optimized geometry

Cell lengths 3.593, 3.283, 6.839 Å; angles 60.25, 90.00, 90.00 degrees
Fractional coordinates of all 4 atoms:
1 Mg 0.000 0.986 0.010
2 Mg 0.000 0.514 0.490
3 P 0.500 0.250 0.250
4 Zn 0.500 0.750 0.750

***

Quick one: most stable of them? entry z

***

Entry w
Mg3ZnP | GGA-PBE | optimized geometry

Cell lengths 4.886, 4.886, 4.886 Å; angles 90.00, 90.00, 90.00 degrees
Fractional coordinates of all 5 atoms:
1 P 0.000 0.000 0.000
2 Zn 0.500 0.500 0.500
3 Mg 0.000 0.500 0.000
4 Mg 0.000 0.000 0.500
5 Mg 0.500 0.000 0.000

***

Entry x
Mg3ZnP | GGA-PBE | optimized geometry

Cell lengths 4.890, 4.890, 4.890 Å; angles 90.00, 90.00, 90.00 degrees
Fractional coordinates of all 5 atoms:
1 P 0.500 0.500 0.500
2 Zn 0.000 0.000 0.000
3 Mg 0.000 0.500 0.000
4 Mg 0.000 0.000 0.500
5 Mg 0.500 0.000 0.000

***

Quick one: most stable of them? entry w

***

Entry w
MgZn3P | GGA-PBE | optimized geometry

Cell lengths 4.778, 4.778, 4.778 Å; angles 90.00, 90.00, 90.00 degrees
Fractional coordinates of all 5 atoms:
1 P 0.000 0.000 0.000
2 Zn 0.000 0.500 0.000
3 Zn 0.000 0.000 0.500
4 Zn 0.500 0.000 0.000
5 Mg 0.500 0.500 0.500

***

Entry x
MgZn3P | GGA-PBE | optimized geometry

Cell lengths 4.943, 4.943, 4.943 Å; angles 90.00, 90.00, 90.00 degrees
Fractional coordinates of all 5 atoms:
1 P 0.500 0.500 0.500
2 Zn 0.000 0.500 0.000
3 Zn 0.000 0.000 0.500
4 Zn 0.500 0.000 0.000
5 Mg 0.000 0.000 0.000

***

Quick one: most stable of them? entry w

***

Entry w
MgZr2P | GGA-PBE | optimized geometry

Cell lengths 3.176, 3.176, 8.441 Å; angles 90.00, 90.00, 104.35 degrees
Fractional coordinates of all 4 atoms:
1 Mg 0.500 0.500 0.250
2 P 0.500 0.500 0.750
3 Zr 0.000 0.000 0.951
4 Zr 0.000 0.000 0.549

***

Entry x
MgZr2P | GGA-PBE | optimized geometry

Cell lengths 5.756, 5.756, 4.640 Å; angles 66.27, 66.27, 34.39 degrees
Fractional coordinates of all 4 atoms:
1 Mg 0.460 0.460 0.540
2 P 0.746 0.746 0.755
3 Zr 0.040 0.040 0.959
4 Zr 0.254 0.254 0.246

***

Entry y
MgZr2P | GGA-PBE | optimized geometry

Cell lengths 6.789, 4.821, 3.367 Å; angles 89.85, 60.52, 122.16 degrees
Fractional coordinates of all 4 atoms:
1 Mg 0.000 0.500 0.500
2 P 0.500 0.500 0.000
3 Zr 0.000 0.000 0.000
4 Zr 0.500 0.000 0.500

***

Entry z
MgZr2P | GGA-PBE | optimized geometry

Cell lengths 4.774, 4.774, 4.774 Å; angles 60.00, 60.00, 60.00 degrees
Site moments in Bohr magnetons follow the coordinates.
Fractional coordinates of all 4 atoms:
1 Mg 0.500 0.500 0.500  -0.01
2 P 0.750 0.750 0.750  -0.02
3 Zr 0.000 0.000 0.000  0.22
4 Zr 0.250 0.250 0.250  0.44

***

Quick one: most stable of them? entry w

***

Entry w
MgZr2P | GGA-PBE | optimized geometry

Cell lengths 4.094, 4.284, 4.284 Å; angles 90.00, 90.00, 90.00 degrees
Fractional coordinates of all 4 atoms:
1 Mg 0.500 0.500 0.000
2 P 0.500 0.000 0.500
3 Zr 0.000 0.000 0.000
4 Zr 0.000 0.500 0.500

***

Entry x
MgZr2P | GGA-PBE | optimized geometry

Cell lengths 4.749, 4.749, 4.749 Å; angles 60.00, 60.00, 60.00 degrees
Fractional coordinates of all 4 atoms:
1 P 0.500 0.500 0.500
2 Mg 0.000 0.000 0.000
3 Zr 0.250 0.250 0.250
4 Zr 0.750 0.750 0.750

***

Quick one: most stable of them? entry w

***

Entry w
Mg3ZrP | GGA-PBE | optimized geometry

Cell lengths 4.878, 4.878, 4.878 Å; angles 90.00, 90.00, 90.00 degrees
Fractional coordinates of all 5 atoms:
1 P 0.000 0.000 0.000
2 Mg 0.000 0.500 0.000
3 Mg 0.000 0.000 0.500
4 Mg 0.500 0.000 0.000
5 Zr 0.500 0.500 0.500

***

Entry x
Mg3ZrP | GGA-PBE | optimized geometry

Cell lengths 5.541, 5.541, 5.541 Å; angles 90.00, 90.00, 90.00 degrees
Site moments in Bohr magnetons follow the coordinates.
Fractional coordinates of all 5 atoms:
1 P 0.500 0.500 0.500  -0.39
2 Mg 0.000 0.500 0.000  0.01
3 Mg 0.000 0.000 0.500  0.00
4 Mg 0.500 0.000 0.000  0.04
5 Zr 0.000 0.000 0.000  0.97

***

Quick one: most stable of them? entry w

***

Entry w
MgPa3 | GGA-PBE | optimized geometry

Cell lengths 3.117, 5.727, 6.330 Å; angles 116.89, 104.25, 90.00 degrees
Fractional coordinates of all 4 atoms:
1 Mg 0.000 0.029 0.000
2 Pa 0.260 0.567 0.519
3 Pa 0.500 0.522 0.000
4 Pa 0.740 0.048 0.481

***

Entry x
MgPa3 | GGA-PBE | optimized geometry

Cell lengths 4.597, 4.597, 4.597 Å; angles 90.00, 90.00, 90.00 degrees
Fractional coordinates of all 4 atoms:
1 Mg 0.000 0.000 0.000
2 Pa 0.000 0.500 0.500
3 Pa 0.500 0.000 0.500
4 Pa 0.500 0.500 0.000

***

Entry y
MgPa3 | GGA-PBE | optimized geometry

Cell lengths 3.233, 5.490, 5.489 Å; angles 90.00, 90.00, 90.00 degrees
Fractional coordinates of all 4 atoms:
1 Mg 0.000 0.500 0.417
2 Pa 0.000 0.000 0.916
3 Pa 0.500 0.000 0.416
4 Pa 0.500 0.500 0.917

***

Quick one: most stable of them? entry y

***

Entry w
MgPaPd | GGA-PBE | optimized geometry

Cell lengths 3.199, 3.199, 6.513 Å; angles 104.22, 104.22, 90.00 degrees
Site moments in Bohr magnetons follow the coordinates.
Fractional coordinates of all 3 atoms:
1 Mg 0.309 0.309 0.617  0.00
2 Pa 0.017 0.017 0.035  0.12
3 Pd 0.674 0.674 0.348  0.00

***

Entry x
MgPaPd | GGA-PBE | optimized geometry

Cell lengths 4.701, 4.701, 7.326 Å; angles 71.29, 71.29, 60.00 degrees
Fractional coordinates of all 6 atoms:
1 Mg 0.298 0.298 0.106
2 Mg 0.702 0.702 0.894
3 Pa 0.137 0.137 0.588
4 Pa 0.863 0.863 0.412
5 Pd 0.431 0.431 0.708
6 Pd 0.569 0.569 0.292

***

Quick one: most stable of them? entry x